# CaAgAs, optimized geometry, DFT GGA-PBE
# Total energy in eV per atom: -3.84
# Energy of formation in eV per atom: -0.671
# Calculated volume in Å³/cell: 70.6
data_CaAgAs
_cell_length_a 4.437
_cell_length_b 4.437
_cell_length_c 4.144
_cell_angle_alpha 90.00
_cell_angle_beta 90.00
_cell_angle_gamma 120.00
_space_group_name_H-M_alt 'P 1'
_space_group_IT_number 1
loop_
_space_group_symop_operation_xyz
'x,y,z'
loop_
_atom_site_label
_atom_site_fract_x
_atom_site_fract_y
_atom_site_fract_z
Ca1 0.000 0.000 0.000
Ag1 0.667 0.333 0.499
As1 0.333 0.667 0.501

***

# Sr8Li2Mg, optimized geometry, DFT GGA-PBE
# Total energy in eV per atom: -1.65
# Energy of formation in eV per atom: 0.067
# Relative energy among the computed polymorphs in eV/atom: 0.033
# Calculated volume in Å³/cell: 504.6
data_Sr8Li2Mg
_cell_length_a 10.095
_cell_length_b 10.095
_cell_length_c 10.095
_cell_angle_alpha 145.28
_cell_angle_beta 118.81
_cell_angle_gamma 72.31
_space_group_name_H-M_alt 'P 1'
_space_group_IT_number 1
loop_
_space_group_symop_operation_xyz
'x,y,z'
loop_
_atom_site_label
_atom_site_fract_x
_atom_site_fract_y
_atom_site_fract_z
Sr1 0.124 0.342 0.781
Sr2 0.133 0.133 0.000
Sr3 0.316 0.000 0.316
Sr4 0.439 0.658 0.781
Sr5 0.561 0.342 0.219
Sr6 0.684 0.000 0.684
Sr7 0.867 0.867 0.000
Sr8 0.876 0.658 0.219
Li1 0.301 0.801 0.500
Li2 0.699 0.199 0.500
Mg1 0.000 0.500 0.500

***

# AlHgAu14, optimized geometry, DFT GGA-PBE
# Total energy in eV per atom: -3.15
# Energy of formation in eV per atom: -0.031
# Calculated volume in Å³/cell: 289.7
data_AlHgAu14
_cell_length_a 6.040
_cell_length_b 6.040
_cell_length_c 7.942
_cell_angle_alpha 90.00
_cell_angle_beta 90.00
_cell_angle_gamma 90.00
_space_group_name_H-M_alt 'P 1'
_space_group_IT_number 1
loop_
_space_group_symop_operation_xyz
'x,y,z'
loop_
_atom_site_label
_atom_site_fract_x
_atom_site_fract_y
_atom_site_fract_z
Al1 0.000 0.000 0.000
Hg1 0.500 0.500 0.000
Au1 0.000 0.000 0.500
Au2 0.000 0.500 0.000
Au3 0.000 0.500 0.500
Au4 0.243 0.243 0.247
Au5 0.243 0.243 0.753
Au6 0.243 0.757 0.247
Au7 0.243 0.757 0.753
Au8 0.500 0.000 0.000
Au9 0.500 0.000 0.500
Au10 0.500 0.500 0.500
Au11 0.757 0.243 0.247
Au12 0.757 0.243 0.753
Au13 0.757 0.757 0.247
Au14 0.757 0.757 0.753

***

# ZrBe2Sb, optimized geometry, DFT GGA-PBE
# Total energy in eV per atom: -4.88
# Calculated volume in Å³/cell: 66.5
# ΔE_f (raw) in eV per formula unit: 0.60
data_ZrBe2Sb
_cell_length_a 3.261
_cell_length_b 3.261
_cell_length_c 6.388
_cell_angle_alpha 90.00
_cell_angle_beta 90.00
_cell_angle_gamma 101.76
_space_group_name_H-M_alt 'P 1'
_space_group_IT_number 1
loop_
_space_group_symop_operation_xyz
'x,y,z'
loop_
_atom_site_label
_atom_site_fract_x
_atom_site_fract_y
_atom_site_fract_z
Zr1 0.000 0.000 0.000
Be1 0.000 0.000 0.406
Be2 0.500 0.500 0.269
Sb1 0.500 0.500 0.668

***

# KY2FeNi, optimized geometry, DFT GGA-PBE
# Total energy in eV per atom: -4.76
# Energy of formation in eV per atom: 0.899
# Calculated volume in Å³/cell: 137.2
data_KY2FeNi
_cell_length_a 5.050
_cell_length_b 5.050
_cell_length_c 5.380
_cell_angle_alpha 90.00
_cell_angle_beta 90.00
_cell_angle_gamma 90.00
_space_group_name_H-M_alt 'P 1'
_space_group_IT_number 1
loop_
_space_group_symop_operation_xyz
'x,y,z'
loop_
_atom_site_label
_atom_site_fract_x
_atom_site_fract_y
_atom_site_fract_z
K1 0.000 0.000 0.000
Y1 0.000 0.500 0.500
Y2 0.500 0.000 0.500
Fe1 0.000 0.000 0.500
Ni1 0.500 0.500 0.000